Entry 1:
Material: FeBBr3
Method: DFT, PBE-GGA
State: relaxed

Calculated values
ΔE_f (raw) (eV/atom): 0.78

Lattice parameters (Å, degrees): 5.0941 5.0941 5.0941 90.00 90.00 90.00
Element x y z (fractional)
Fe: 0.0000 0.0000 0.0000
B: 0.5000 0.5000 0.5000
Br: 0.0000 0.0000 0.5000
Br: 0.0000 0.5000 0.0000
Br: 0.5000 0.0000 0.0000

Entry 2:
Material: Fe2BBr
Method: DFT, PBE-GGA
State: relaxed

Calculated values
Energy relative to the lowest polymorph listed for this composition (eV/atom): 0.333
ΔE_f (raw) (eV/atom): 1.03

Lattice parameters (Å, degrees): 4.0642 4.0642 4.0642 60.00 60.00 60.00
Element x y z (fractional)
Fe: 0.2500 0.2500 0.2500
Fe: 0.7500 0.7500 0.7500
B: 0.0000 0.0000 0.0000
Br: 0.5000 0.5000 0.5000

Entry 3:
Material: FeB3Br
Method: DFT, PBE-GGA
State: relaxed

Calculated values
Energy relative to the lowest polymorph listed for this composition (eV/atom): 0.000
ΔE_f (raw) (eV/atom): 1.33

Lattice parameters (Å, degrees): 3.9792 3.9792 3.9792 90.00 90.00 90.00
Element x y z (fractional)
Fe: 0.0000 0.0000 0.0000
B: 0.0000 0.0000 0.5000
B: 0.0000 0.5000 0.0000
B: 0.5000 0.0000 0.0000
Br: 0.5000 0.5000 0.5000

Entry 4:
Material: Fe2BBr
Method: DFT, PBE-GGA
State: relaxed

Calculated values
Energy relative to the lowest polymorph listed for this composition (eV/atom): 0.000
ΔE_f (raw) (eV/atom): 0.70

Lattice parameters (Å, degrees): 5.9895 5.9895 5.9895 132.92 132.92 68.78
Element x y z (fractional)
Fe: 0.0524 0.6250 0.9274
Fe: 0.3750 0.3024 0.4274
Fe: 0.6976 0.1250 0.0726
Fe: 0.8750 0.9476 0.5726
B: 0.0000 0.0000 0.0000
B: 0.7500 0.2500 0.5000
Br: 0.2500 0.7500 0.5000
Br: 0.5000 0.5000 0.0000